## Ca2Co2F (PBE with a Hubbard U)

Data for a relaxed structure of Ca2Co2F.

Output
Total magnetization   3.00 μB per formula unit
SG   I4/mmm, No. 139
E_tot   -16.19 eV/f.u.

POSCAR file:
```
Ca2Co2F
1.0
5.732 0.000 0.000
0.000 5.732 0.000
0.000 0.000 6.532
Ca Co F
4 4 2
Cartesian
0.000 2.866 1.633 Ca
0.000 2.866 4.899 Ca
2.866 0.000 1.633 Ca
2.866 0.000 4.899 Ca
0.000 0.000 1.174 Co
0.000 0.000 5.358 Co
2.866 2.866 2.092 Co
2.866 2.866 4.440 Co
0.000 0.000 3.266 F
2.866 2.866 0.000 F
```